No. 1
# BeFe2SbAs

Crystalline BeFe2SbAs at its relaxed geometry (GGA-PBE, Alexandria via LeMat-Bulk).

Calculated values
The magnetization comes out at 0.02 μB/atom. The value obtained for the calculated volume is 112.3 Å³ per cell. Its density of states at the Fermi level is 6.609 states/eV per cell. The calculation puts the energy relative to the elements, uncorrected at 1876 meV per atom. As for the total energy: -20.0 eV per cell.

The structure in POSCAR format:
```
BeFe2SbAs
1.0
4.6366 0.0000 0.0000
0.0000 4.6366 0.0000
0.0000 0.0000 5.2248
Be Fe Sb As
1 2 1 1
direct
0.0000 0.0000 0.0000
0.0000 0.5000 0.5000
0.5000 0.0000 0.5000
0.5000 0.5000 0.5000
0.5000 0.5000 0.0000
```



No. 2
# BeFeAs2Se

Crystalline BeFeAs2Se at its relaxed geometry (GGA-PBE, Alexandria via LeMat-Bulk).

Calculated values
The magnetization comes out at 0.01 μB/atom. The value obtained for the calculated volume is 91.5 Å³ per cell. For the excess energy over the best structure of this formula in the dataset, the calculation gives 0.254 eV/atom. Its density of states at the Fermi level is 8.735 states/eV per cell. The calculation puts the energy relative to the elements, uncorrected at 957 meV per atom. As for the total energy: -20.2 eV per cell.

The structure in POSCAR format:
```
BeFeAs2Se
1.0
4.3775 0.0000 0.0000
0.0000 4.3775 0.0000
0.0000 0.0000 4.7762
Be Fe As Se
1 1 2 1
direct
0.0000 0.0000 0.0000
0.5000 0.5000 0.5000
0.0000 0.5000 0.0000
0.5000 0.0000 0.0000
0.0000 0.0000 0.5000
```



No. 3
# BeFeAs2Se

Crystalline BeFeAs2Se at its relaxed geometry (GGA-PBE, Alexandria via LeMat-Bulk).

Calculated values
The magnetization comes out at 0.00 μB/atom. The value obtained for the calculated volume is 100.4 Å³ per cell. For the excess energy over the best structure of this formula in the dataset, the calculation gives 0.000 eV/atom. Its density of states at the Fermi level is 1.736 states/eV per cell. The calculation puts the energy relative to the elements, uncorrected at 703 meV per atom. As for the total energy: -21.5 eV per cell.

The structure in POSCAR format:
```
BeFeAs2Se
1.0
4.3394 0.0000 0.0000
0.0000 4.3394 0.0000
0.0000 0.0000 5.3306
Be Fe As Se
1 1 2 1
direct
0.0000 0.0000 0.0000
0.5000 0.5000 0.5000
0.0000 0.5000 0.5000
0.5000 0.0000 0.5000
0.5000 0.5000 0.0000
```



No. 4
# BeTlFe2As

Crystalline BeTlFe2As at its relaxed geometry (GGA-PBE, Alexandria via LeMat-Bulk).

Calculated values
The magnetization comes out at 0.98 μB/atom. The value obtained for the calculated volume is 82.5 Å³ per cell. Its density of states at the Fermi level is 5.182 states/eV per cell. Its formation energy from the elements is 0.825 eV/atom. As for the total energy: -23.5 eV per cell.

The structure in POSCAR format:
```
BeTlFe2As
1.0
4.2742 0.0000 0.0000
0.0000 4.2742 0.0000
0.0000 0.0000 4.5170
Be Tl Fe As
1 1 2 1
direct
0.0000 0.0000 0.0000
0.0000 0.0000 0.5000
0.0000 0.5000 0.0000
0.5000 0.0000 0.0000
0.5000 0.5000 0.5000
```



No. 5
# YBeFeAs2

Crystalline YBeFeAs2 at its relaxed geometry (GGA-PBE, Alexandria via LeMat-Bulk).

Calculated values
The magnetization comes out at 0.49 μB/atom. The value obtained for the calculated volume is 87.8 Å³ per cell. Its density of states at the Fermi level is 4.628 states/eV per cell. Its formation energy from the elements is -0.019 eV/atom. As for the total energy: -28.0 eV per cell.

The structure in POSCAR format:
```
YBeFeAs2
1.0
4.6060 0.0000 0.0000
0.0000 4.6060 0.0000
0.0000 0.0000 4.1407
Y Be Fe As
1 1 1 2
direct
0.0000 0.0000 0.0000
0.5000 0.5000 0.5000
0.5000 0.5000 0.0000
0.0000 0.5000 0.5000
0.5000 0.0000 0.5000
```



No. 6
# BeZn2FeAs

Crystalline BeZn2FeAs at its relaxed geometry (GGA-PBE, Alexandria via LeMat-Bulk).

Calculated values
The magnetization comes out at 0.42 μB/atom. The value obtained for the calculated volume is 75.0 Å³ per cell. Its density of states at the Fermi level is 5.775 states/eV per cell. Its formation energy from the elements is 0.515 eV/atom. As for the total energy: -16.8 eV per cell.

The structure in POSCAR format:
```
BeZn2FeAs
1.0
4.2487 0.0000 0.0000
0.0000 4.2487 0.0000
0.0000 0.0000 4.1567
Be Zn Fe As
1 2 1 1
direct
0.0000 0.0000 0.0000
0.0000 0.5000 0.0000
0.5000 0.0000 0.0000
0.0000 0.0000 0.5000
0.5000 0.5000 0.5000
```



No. 7
# BeGa3As4

Crystalline BeGa3As4 at its relaxed geometry (GGA-PBE, Alexandria via LeMat-Bulk).

Calculated values
The magnetization comes out at 0.00 μB/atom. The value obtained for the calculated volume is 350.4 Å³ per cell. For the excess energy over the best structure of this formula in the dataset, the calculation gives 0.000 eV/atom. Its density of states at the Fermi level is 6.659 states/eV per cell. Its formation energy from the elements is -0.257 eV/atom. As for the total energy: -66.9 eV per cell.

The structure in POSCAR format:
```
BeGa3As4
1.0
5.5913 0.0000 0.0000
0.0000 5.5913 0.0000
0.0000 0.0000 11.2078
Be Ga As
2 6 8
direct
0.0000 0.0000 0.0000
0.5000 0.5000 0.5000
0.0000 0.0000 0.5000
0.0000 0.5000 0.2500
0.0000 0.5000 0.7500
0.5000 0.0000 0.2500
0.5000 0.0000 0.7500
0.5000 0.5000 0.0000
0.2336 0.2336 0.1177
0.2336 0.7664 0.8823
0.2664 0.2664 0.6177
0.2664 0.7336 0.3823
0.7336 0.2664 0.3823
0.7336 0.7336 0.6177
0.7664 0.2336 0.8823
0.7664 0.7664 0.1177
```



No. 8
# BeGaAs2

Crystalline BeGaAs2 at its relaxed geometry (GGA-PBE, Alexandria via LeMat-Bulk).

Calculated values
The magnetization comes out at 0.00 μB/atom. The value obtained for the calculated volume is 323.8 Å³ per cell. For the excess energy over the best structure of this formula in the dataset, the calculation gives 0.000 eV/atom. Its density of states at the Fermi level is 9.098 states/eV per cell. Its formation energy from the elements is -0.134 eV/atom. As for the total energy: -66.4 eV per cell.

The structure in POSCAR format:
```
BeGaAs2
1.0
5.4851 0.0000 0.0000
0.0000 5.4851 0.0000
0.0000 0.0000 10.7616
Be Ga As
4 4 8
direct
0.0000 0.0000 0.0000
0.0000 0.5000 0.2500
0.5000 0.0000 0.7500
0.5000 0.5000 0.5000
0.0000 0.0000 0.5000
0.0000 0.5000 0.7500
0.5000 0.0000 0.2500
0.5000 0.5000 0.0000
0.2146 0.2500 0.1250
0.2500 0.7146 0.3750
0.2500 0.7854 0.8750
0.2854 0.2500 0.6250
0.7146 0.7500 0.6250
0.7500 0.2146 0.8750
0.7500 0.2854 0.3750
0.7854 0.7500 0.1250
```



No. 9
# BeGa2As

Crystalline BeGa2As at its relaxed geometry (GGA-PBE, Alexandria via LeMat-Bulk).

Calculated values
The magnetization comes out at 0.00 μB/atom. The value obtained for the calculated volume is 341.5 Å³ per cell. For the excess energy over the best structure of this formula in the dataset, the calculation gives 0.000 eV/atom. Its density of states at the Fermi level is 8.515 states/eV per cell. Its formation energy from the elements is 0.324 eV/atom. As for the total energy: -52.5 eV per cell.

The structure in POSCAR format:
```
BeGa2As
1.0
5.8741 0.0000 0.0000
0.0000 5.8741 0.0000
0.0000 0.0000 9.8984
Be Ga As
4 8 4
direct
0.0000 0.0000 0.0000
0.0000 0.5000 0.2500
0.5000 0.0000 0.7500
0.5000 0.5000 0.5000
0.2299 0.2500 0.1250
0.2500 0.7299 0.3750
0.2500 0.7701 0.8750
0.2701 0.2500 0.6250
0.7299 0.7500 0.6250
0.7500 0.2299 0.8750
0.7500 0.2701 0.3750
0.7701 0.7500 0.1250
0.0000 0.0000 0.5000
0.0000 0.5000 0.7500
0.5000 0.0000 0.2500
0.5000 0.5000 0.0000
```



No. 10
# BeGaAs2

Crystalline BeGaAs2 at its relaxed geometry (GGA-PBE, Alexandria via LeMat-Bulk).

Calculated values
The magnetization comes out at 0.00 μB/atom. The value obtained for the calculated volume is 267.5 Å³ per cell. For the excess energy over the best structure of this formula in the dataset, the calculation gives 0.599 eV/atom. Its density of states at the Fermi level is 6.574 states/eV per cell. Its formation energy from the elements is 0.465 eV/atom. As for the total energy: -56.8 eV per cell.

The structure in POSCAR format:
```
BeGaAs2
1.0
6.4435 0.0000 0.0000
0.0000 6.4435 0.0000
0.0000 0.0000 6.4435
Be Ga As
4 4 8
direct
0.0000 0.0000 0.0000
0.0000 0.5000 0.5000
0.5000 0.0000 0.5000
0.5000 0.5000 0.0000
0.0000 0.0000 0.5000
0.0000 0.5000 0.0000
0.5000 0.0000 0.0000
0.5000 0.5000 0.5000
0.2500 0.2500 0.2500
0.2500 0.2500 0.7500
0.2500 0.7500 0.2500
0.2500 0.7500 0.7500
0.7500 0.2500 0.2500
0.7500 0.2500 0.7500
0.7500 0.7500 0.2500
0.7500 0.7500 0.7500
```